The following is a DFT calculation (GGA-PBE) of CrCo2MoN after structural relaxation.

Unit cell a=4.3140 b=4.3140 c=3.5321 alpha=90.00 beta=90.00 gamma=90.00
Closest atoms and distances in Å follow each position.
Element x y z (fractional)
Cr 0.0000 0.0000 0.0000  2 N 1.77
Co 0.0000 0.5000 0.0000  2 Cr 2.16
Co 0.5000 0.0000 0.0000  2 Cr 2.16
Mo 0.5000 0.5000 0.5000  8 Co 2.79, 4 N 3.05
N 0.0000 0.0000 0.5000  2 Cr 1.77

E = -7.46 eV/atom
Symmetry = No. 123
ΔE_f (raw) = 5.71 eV per formula unit

=====

The following is a DFT calculation (GGA-PBE) of RhBrNF2 after structural relaxation.

Unit cell a=4.2560 b=4.2560 c=3.8044 alpha=90.00 beta=90.00 gamma=90.00
Closest atoms and distances in Å follow each position.
Element x y z (fractional)
Rh 0.0000 0.0000 0.0000  2 N 1.90, 4 F 2.13
Br 0.5000 0.5000 0.5000  8 F 2.85, 4 N 3.01
N 0.0000 0.0000 0.5000  2 Rh 1.90
F 0.0000 0.5000 0.0000  2 Rh 2.13
F 0.5000 0.0000 0.0000  2 Rh 2.13

E = -4.21 eV/atom
E above lowest polymorph = 0.00 eV per formula unit
Symmetry = No. 123
ΔE_f (raw) = 0.06 eV per formula unit

=====

The following is a DFT calculation (GGA-PBE) of Sc2TeOs after structural relaxation.

Unit cell a=3.3796 b=3.3796 c=7.1115 alpha=90.00 beta=90.00 gamma=90.00
Closest atoms and distances in Å follow each position.
Element x y z (fractional)
Sc 0.0000 0.0000 0.2168  4 Os 2.84, 1 Sc 3.08, 4 Te 3.13
Sc 0.0000 0.0000 0.7832  4 Os 2.84, 1 Sc 3.08, 4 Te 3.13
Te 0.5000 0.5000 0.5000  8 Sc 3.13, 4 Te 3.38
Os 0.5000 0.5000 0.0000  8 Sc 2.84

E = -7.32 eV/atom
Symmetry = No. 123
ΔE_f (raw) = -2.26 eV per formula unit